Entry 1:
Material: SrLaN
Method: DFT, GGA-PBE
State: optimized geometry

Geometry as CIF:
```
data_SrLaN
_chemical_formula_sum 'Sr2 La2 N2'
_space_group_name_H-M_alt 'P 4/n m m'
_space_group_IT_number 129
_cell_length_a 3.852
_cell_length_b 3.852
_cell_length_c 11.154
_cell_angle_alpha 90.00
_cell_angle_beta 90.00
_cell_angle_gamma 90.00
loop_
_space_group_symop_operation_xyz
'x,y,z'
'-x,-y,-z'
'-y+1/2,x,z'
'y+1/2,-x,-z'
'-x+1/2,-y+1/2,z'
'x+1/2,y+1/2,-z'
'y,-x+1/2,z'
'-y,x+1/2,-z'
'x+1/2,-y,-z'
'-x+1/2,y,z'
'-y,-x,-z'
'y,x,z'
'-x,y+1/2,-z'
'x,-y+1/2,z'
'y+1/2,x+1/2,-z'
'-y+1/2,-x+1/2,z'
loop_
_atom_site_label
_atom_site_type_symbol
_atom_site_fract_x
_atom_site_fract_y
_atom_site_fract_z
Sr1 Sr 0.250 0.250 0.147
La1 La 0.250 0.250 0.606
N1 N 0.250 0.250 0.393
```

Computed properties:
Its formation energy (no corrections) is -17.9 kcal/mol of atoms. The total energy is -5.75 eV per atom. The value obtained for the polymorph energy (0 for the lowest one) is 0.0 meV per atom. Its density of states at the Fermi level is 0.869 states/eV per atom.

Entry 2:
Material: Zn4CuRu
Method: DFT, GGA-PBE
State: optimized geometry

Geometry as CIF:
```
data_Zn4CuRu
_chemical_formula_sum 'Zn8 Cu2 Ru2'
_space_group_name_H-M_alt 'C 1 2/m 1'
_space_group_IT_number 12
_space_group_name_Hall '-C 2y'
_cell_length_a 9.089
_cell_length_b 4.084
_cell_length_c 5.375
_cell_angle_alpha 90.00
_cell_angle_beta 123.94
_cell_angle_gamma 90.00
loop_
_atom_site_label
_atom_site_type_symbol
_atom_site_fract_x
_atom_site_fract_y
_atom_site_fract_z
Zn1 Zn 0.163 0.000 0.381
Zn2 Zn 0.167 0.000 0.881
Cu1 Cu 0.000 0.500 0.000
Ru1 Ru 0.000 0.500 0.500
```

Computed properties:
Its formation energy is -0.074 eV per atom. The total energy is -3.15 eV per atom. The value obtained for the polymorph energy (0 for the lowest one) is 0.0 meV per atom. Its density of states at the Fermi level is 0.333 states/eV per atom.